# 1
Computed, not measured: a relaxed structure of CaCrPd at the GGA-PBE level of DFT.

Summary:
The mass density is 5.63 g/cm³. The distance to the lowest polymorph of the same formula is 161 meV per atom. The calculation puts the formation energy at 0.073 eV per atom. Its crystal system is triclinic.

```
CaCrPd
1.0
-5.499 1.791 0.492
-0.725 -2.604 1.537
2.464 4.004 4.786
Pd Cr Ca
2 2 2
direct
0.985 0.250 0.938
0.245 0.617 0.679
0.689 0.835 0.098
0.475 0.255 0.954
0.218 0.922 0.290
0.732 0.578 0.588
```

***

# 2
Computed, not measured: a relaxed structure of CaRe2Rh at the GGA-PBE level of DFT.

Summary:
The mass density is 12.61 g/cm³. The distance to the lowest polymorph of the same formula is 279 meV per atom. The calculation puts the formation energy at 0.506 eV per atom. Its crystal system is tetragonal.

```
CaRe2Rh
1.0
4.837 0.000 0.000
0.000 3.745 0.000
0.000 0.000 3.745
Rh Ca Re
1 1 2
direct
0.500 0.500 0.000
0.500 0.000 0.500
0.000 0.500 0.500
0.000 0.000 0.000
```

***

Look up the distance to the lowest polymorph of the same formula of the first one. 161 meV per atom